The following is a PBE calculation of crystalline YAuS2 at its relaxed geometry, from the Open Quantum Materials Database.

a b c (Å): 13.142 4.131 7.178
angles (deg): 90.00 90.00 90.00
Positions (direct):
Au  0.396  0.750  0.521
Au  0.604  0.250  0.479
Au  0.896  0.750  0.979
Au  0.104  0.250  0.021
S  0.451  0.750  0.828
S  0.797  0.750  0.249
S  0.049  0.250  0.328
S  0.297  0.750  0.251
S  0.203  0.250  0.751
S  0.549  0.250  0.172
S  0.951  0.750  0.672
S  0.703  0.250  0.749
Y  0.856  0.250  0.486
Y  0.644  0.750  0.986
Y  0.356  0.250  0.014
Y  0.144  0.750  0.514

Space-group type: Pnma, No. 62
E: -5.80 eV/atom
Volume: 390 Å³/cell